Below is a relaxed structure of Si2HgPtW, with properties calculated at the PBE level.

abc: 4.598 4.598 5.224
angles: 90.00 90.00 90.00
Space group P4/mmm (No. 123)
Unique sites:
Si: 0.000 0.500 0.000 [2 per cell]
Hg: 0.000 0.000 0.500 [1 per cell]
Pt: 0.000 0.000 0.000 [1 per cell]
W: 0.500 0.500 0.500 [1 per cell]

Properties
- crystal system = tetragonal
- formation energy from raw total energies (meV per atom) = 1277